VASP calculation (PBE) on an optimized crystal structure of Li2Dy2Mg3.

Cell and atoms, written as extended XYZ:
```
7
Lattice="-0.925 -3.200 2.220 3.484 -0.470 0.775 -1.644 5.355 10.642" Properties=species:S:1:pos:R:3 pbc="T T T"
Li 0.142 0.535 8.049
Li 0.773 1.149 5.588
Dy -0.183 2.451 10.675
Dy 1.098 -0.766 2.962
Mg -1.308 -0.946 5.310
Mg 0.000 0.000 0.000
Mg -1.261 3.100 7.552
```

Fermi-level density of states: 5.4 states/eV per cell
E: -2.562 eV/atom
Formation energy from the elements: -0.0168 eV/atom
V: 171 Å³/f.u.